Entry 1:
Density functional theory data (PBE-GGA) for a relaxed Ca2LaPN crystal.

Unit cell a=4.7343 b=4.7343 c=4.9685 alpha=90.00 beta=90.00 gamma=90.00
Element x y z (fractional)
P: 0.5000 0.5000 0.5000
N: 0.0000 0.0000 0.0000
La: 0.0000 0.0000 0.5000
Ca: 0.0000 0.5000 0.0000
Ca: 0.5000 0.0000 0.0000

Values from the calculation:
E_form (uncorrected) ... -460 kJ/mol of formula units
Relative energy among the computed polymorphs ... 0.000 eV/atom
M_tot ... 0.0 μB/f.u.
Calculated density ... 3.94 g/cm³

---

Entry 2:
Density functional theory data (PBE-GGA) for a relaxed SrSiMo2 crystal.

Unit cell a=5.5767 b=5.5767 c=5.5767 alpha=145.10 beta=126.76 gamma=65.25
Element x y z (fractional)
Mo: 0.9649 0.9649 0.0000
Mo: 0.7645 0.2645 0.5000
Sr: 0.2405 0.7405 0.5000
Si: 0.5302 0.5302 0.0000

Values from the calculation:
E_form (uncorrected) ... 271 kJ/mol of formula units
M_tot ... 0.0 μB/f.u.
Calculated density ... 6.51 g/cm³

---

Entry 3:
Density functional theory data (PBE-GGA) for a relaxed FeNiPtW crystal.

Unit cell a=4.2349 b=4.2349 c=4.2349 alpha=60.00 beta=60.00 gamma=60.00
Element x y z (fractional)
Fe: 0.5000 0.5000 0.5000
Ni: 0.0000 0.0000 0.0000
Pt: 0.7500 0.7500 0.7500
W: 0.2500 0.2500 0.2500

Values from the calculation:
M_tot ... 2.2 μB/f.u.
Calculated density ... 15.26 g/cm³
ΔE_f ... -0.020 eV/atom

---

Entry 4:
Density functional theory data (PBE-GGA) for a relaxed PmY8Th4 crystal.

Unit cell a=7.4042 b=7.4042 c=9.9272 alpha=90.00 beta=111.90 gamma=120.00
Element x y z (fractional)
Y: 0.5003 0.2501 0.3083
Y: 0.4997 0.7499 0.6917
Y: 0.5579 0.7789 0.3368
Y: 0.0582 0.8080 0.3083
Y: 0.9418 0.7499 0.6917
Y: 0.9418 0.1920 0.6917
Y: 0.0582 0.2501 0.3083
Y: 0.4421 0.2211 0.6632
Th: 0.5000 0.0000 0.0000
Th: 0.0000 0.0000 0.0000
Th: 0.5000 0.5000 0.0000
Th: 0.0000 0.5000 0.0000
Pm: 0.0000 0.5000 0.5000

Values from the calculation:
M_tot ... 0.0 μB/f.u.
Calculated density ... 6.97 g/cm³
ΔE_f ... 0.219 eV/atom

---

Entry 5:
Density functional theory data (PBE-GGA) for a relaxed SiPt2Pb crystal.

Unit cell a=3.4997 b=3.5023 c=6.1133 alpha=90.00 beta=90.00 gamma=90.00
Element x y z (fractional)
Si: 0.0000 0.0000 0.4024
Pb: 0.5000 0.5000 0.7792
Pt: 0.0000 0.0000 0.0152
Pt: 0.5000 0.5000 0.3032

Values from the calculation:
E_form (uncorrected) ... -81 kJ/mol of formula units
M_tot ... 0.0 μB/f.u.
Calculated density ... 13.86 g/cm³

---

Entry 6:
Density functional theory data (PBE-GGA) for a relaxed La2ScI crystal.

Unit cell a=3.7429 b=3.7429 c=9.3797 alpha=90.00 beta=90.00 gamma=90.00
Element x y z (fractional)
La: 0.0000 0.0000 0.2465
La: 0.0000 0.0000 0.7535
I: 0.5000 0.5000 0.5000
Sc: 0.5000 0.5000 0.0000

Values from the calculation:
E_form (uncorrected) ... -136 kJ/mol of formula units
Relative energy among the computed polymorphs ... 0.000 eV/atom
M_tot ... 0.0 μB/f.u.
Calculated density ... 5.68 g/cm³